First-principles (PBE with a Hubbard U) data for an optimized crystal structure of Co3SbO8, as listed in Alexandria.

abc: 5.717 9.816 9.119
angles: 90.00 90.53 90.00
Space group Cc (No. 9)
Unique sites:
Co1 0.000 0.085 0.000 x4
Co2 0.249 0.332 0.005 x4
Co3 0.495 0.086 0.004 x4
Sb1 0.254 0.165 0.282 x4
O1 0.016 0.423 0.886 x4
O2 0.022 0.243 0.123 x4
O3 0.246 0.016 0.120 x4
O4 0.247 0.171 0.901 x4
O5 0.250 0.498 0.100 x4
O6 0.251 0.339 0.394 x4
O7 0.474 0.245 0.125 x4
O8 0.490 0.422 0.891 x4

Results
E_tot = -5.820 eV per atom